# TlZn2Re, optimized geometry, DFT PBE-GGA
data_TlZn2Re
_chemical_formula_sum 'Tl2 Zn4 Re2'
_cell_length_a 3.1295
_cell_length_b 4.6001
_cell_length_c 9.7542
_cell_angle_alpha 90.00
_cell_angle_beta 90.00
_cell_angle_gamma 90.00
_space_group_name_H-M_alt 'I m m m'
_space_group_IT_number 71
_space_group_name_Hall '-I 2 2'
loop_
_atom_site_label
_atom_site_fract_x
_atom_site_fract_y
_atom_site_fract_z
Tl1 0.0000 0.0000 0.0000
Zn1 0.0000 0.5000 0.2235
Re1 0.0000 0.0000 0.5000
# ΔH_f (0 K) = 0.581 eV/atom
# Polymorph energy (0 for the lowest one) = 109 meV per atom
# Magnetic moment = 0.1 μB/f.u.
# E = -3.7595 eV/atom